Entry 1:
PBE SnHgAu2, relaxed; theoretical density = 13.7 Mg/m³; energy relative to the elements = 4 kJ/mol of atoms; symmetry = Fm-3m; calculated total energy = -2.68 eV/atom; relative energy among the computed polymorphs = 95 meV/atom
1.0
0.000 3.510 3.510
3.510 0.000 3.510
3.510 3.510 0.000
Au Sn Hg
2 1 1
Cartesian
1.755 1.755 1.755
5.265 5.265 5.265
0.000 0.000 0.000
3.510 3.510 3.510



Entry 2:
PBE Ce3NiGe4, relaxed; theoretical density = 6.7 Mg/m³; energy relative to the elements = -54 kJ/mol of atoms; symmetry = Immm; calculated total energy = -5.81 eV/atom
1.0
-1.991 -3.870 1.184
1.179 -2.270 -5.434
6.528 0.638 4.469
Ge Ce Ni
4 3 1
Cartesian
4.410 -1.355 2.986
1.306 -4.147 -2.767
4.930 -2.356 0.590
0.786 -3.146 -0.371
2.323 -0.923 0.889
3.394 -4.579 -0.670
0.589 -1.135 -2.717
-0.995 -1.935 0.592



Entry 3:
PBE Rb2TlZnHg6, relaxed; theoretical density = 7.6 Mg/m³; energy relative to the elements = -9 kJ/mol of atoms; symmetry = P-1; calculated total energy = -0.83 eV/atom
1.0
-2.355 1.417 -7.561
7.291 -2.129 -2.634
0.970 -5.676 -5.977
Hg Rb Zn Tl
6 2 1 1
Cartesian
4.660 -6.035 -13.477
1.163 -5.195 -12.239
4.743 -1.193 -3.932
1.364 -2.875 -4.736
4.541 -3.513 -11.434
1.245 -0.353 -2.694
4.955 -3.928 -7.063
0.951 -2.460 -9.108
2.468 -0.356 -5.097
0.000 0.000 0.000